DFT (GGA+U) results for a relaxed NpVO5 crystal.

Geometry as CIF:
```
data_NpVO5
_chemical_formula_sum 'Np2 V2 O10'
_space_group_name_H-M_alt 'I m m m'
_space_group_IT_number 71
_space_group_name_Hall '-I 2 2'
_cell_length_a 3.6531
_cell_length_b 6.5294
_cell_length_c 7.8327
_cell_angle_alpha 90.00
_cell_angle_beta 90.00
_cell_angle_gamma 90.00
loop_
_atom_site_label
_atom_site_fract_x
_atom_site_fract_y
_atom_site_fract_z
Np1 0.0000 0.0000 0.0000
V1 0.0000 0.0000 0.5000
O1 0.0000 0.0000 0.2410
O2 0.0000 0.3051 0.5000
O3 0.0000 0.5000 0.0000
```

* raw total energy: -8.82 eV per atom